1.
A plane-wave DFT calculation with GGA-PBE was carried out for V2SiHgBi after structural relaxation.

It has space group P4/mmm (No. 123), with a = 4.702 Å, b = 4.702 Å, c = 5.317 Å, α = 90.00°, β = 90.00° and γ = 90.00°. Symmetry generates all atoms from V at (0.000, 0.500, 0.000), Si at (0.000, 0.000, 0.000), Hg at (0.500, 0.500, 0.500) and Bi at (0.000, 0.000, 0.500).

The spin magnetization comes out at 4.41 μB/f.u. Its crystal system is tetragonal. As for the electronic total energy: -4.75 eV per atom. Its density is 7.62 g cm⁻³. The formation energy from raw total energies is 18.8 kcal/mol of atoms.

---

2.
A plane-wave DFT calculation with GGA-PBE was carried out for Sm7Hg2Bi2 after structural relaxation.

It has space group Cmmm (No. 65), with a = 9.847 Å, b = 11.398 Å, c = 6.798 Å, α = 90.00°, β = 90.00° and γ = 90.00°. Symmetry generates all atoms from Sm at (0.000, 0.000, 0.000), Sm at (0.000, 0.500, 0.251), Sm at (0.250, 0.250, 0.257), Hg at (0.000, 0.272, 0.000) and Bi at (0.194, 0.000, 0.500).

The spin magnetization comes out at 0.00 μB/f.u. Its crystal system is orthorhombic. As for the electronic total energy: -3.96 eV per atom. Its density is 8.15 g cm⁻³. Its formation energy is -0.1925 eV/atom.

---

3.
A plane-wave DFT calculation with GGA-PBE was carried out for Sm2Hg5Bi after structural relaxation.

It has space group Pbam (No. 55), with a = 6.786 Å, b = 13.543 Å, c = 4.534 Å, α = 90.00°, β = 90.00° and γ = 90.00°. Symmetry generates all atoms from Sm at (0.230, 0.119, 0.000), Hg at (0.000, 0.500, 0.500), Hg at (0.032, 0.746, 0.500), Hg at (0.217, 0.364, 0.000) and Bi at (0.000, 0.000, 0.500).

The spin magnetization comes out at 0.00 μB/f.u. Its crystal system is orthorhombic. As for the electronic total energy: -2.27 eV per atom. Its density is 12.05 g cm⁻³. Its formation energy is -0.4143 eV/atom.

---

4.
A plane-wave DFT calculation with GGA-PBE was carried out for Sm4HgBi2 after structural relaxation.

It has space group C2/m (No. 12), with a = 16.124 Å, b = 4.344 Å, c = 7.747 Å, α = 90.00°, β = 117.87° and γ = 90.00°. Symmetry generates all atoms from Sm at (0.113, 0.000, 0.260), Sm at (0.118, 0.500, 0.820), Hg at (0.000, 0.000, 0.500) and Bi at (0.241, 0.000, 0.730).

The spin magnetization comes out at 0.32 μB/f.u. Its crystal system is monoclinic. As for the electronic total energy: -4.32 eV per atom. Its density is 8.45 g cm⁻³. Its formation energy is -0.4750 eV/atom.